1.
DFT (GGA-PBE) results for an optimized crystal structure of HgPdPt2.

Results
Formation enthalpy at 0 K (eV per atom): 0.093
Density of states at the Fermi level (states/eV/f.u.): 5.8
VASP energy (Ha/atom): -0.158

Cell: 9.5231 9.5231 9.5231 Å, 17.39 17.39 17.39°
With the nearest neighbours (Å) after each atom.
Atoms (fractional coordinates):
Hg (0.0000, 0.0000, 0.0000)  6 Hg 2.88, 6 Pt 2.93
Pd (0.8328, 0.8328, 0.8328)  6 Pt 2.81-2.83, 6 Pd 2.88
Pt (0.4189, 0.4189, 0.4189)  3 Pd 2.81, 6 Pt 2.88, 3 Hg 2.93
Pt (0.5808, 0.5808, 0.5808)  3 Pd 2.83, 6 Pt 2.88, 3 Hg 2.93

2.
DFT (GGA-PBE) results for an optimized crystal structure of NdDy2HoTh.

Results
Formation enthalpy at 0 K (eV per atom): 0.321
Density of states at the Fermi level (states/eV/f.u.): 8.9
VASP energy (Ha/atom): -0.179

Cell: 3.5391 5.6446 8.6945 Å, 90.00 90.00 90.00°
With the nearest neighbours (Å) after each atom.
Atoms (fractional coordinates):
Nd (0.0000, 0.0000, 0.0000)  4 Th 3.33, 2 Nd 3.54
Dy (0.0000, 0.5000, 0.3215)  1 Dy 3.10, 2 Th 3.31
Dy (0.0000, 0.5000, 0.6785)  1 Dy 3.10, 2 Th 3.31
Ho (0.5000, 0.0000, 0.5000)  2 Ho 3.54, 8 Dy 3.67
Th (0.5000, 0.5000, 0.0000)  4 Dy 3.31, 4 Nd 3.33, 2 Th 3.54

3.
DFT (GGA-PBE) results for an optimized crystal structure of LaCoBi.

Results
Formation enthalpy at 0 K (eV per atom): -0.125
Density of states at the Fermi level (states/eV/f.u.): 2.8
VASP energy (Ha/atom): -0.200

Cell: 5.8451 5.8451 7.6168 Å, 95.62 95.62 40.28°
With the nearest neighbours (Å) after each atom.
Atoms (fractional coordinates):
La (0.1078, 0.1078, 0.3263)  4 Co 2.94-2.96
La (0.8922, 0.8922, 0.6737)  4 Co 2.94-2.96
Co (0.4238, 0.4238, 0.3971)  1 Co 2.17
Co (0.5762, 0.5762, 0.6029)  1 Co 2.17
Bi (0.3616, 0.3616, 0.0605)  1 Co 2.58
Bi (0.6384, 0.6384, 0.9395)  1 Co 2.58

4.
DFT (GGA-PBE) results for an optimized crystal structure of RbSb2TeCl.

Results
Offset from the most stable computed form (meV/atom): 932
Density of states at the Fermi level (states/eV/f.u.): 15.8
VASP energy (Ha/atom): -0.061

Cell: 7.1738 7.1738 6.6530 Å, 90.00 90.00 90.00°
With the nearest neighbours (Å) after each atom.
Atoms (fractional coordinates):
Rb (0.0000, 0.0000, 0.0000)  2 Te 3.33, 4 Sb 3.59
Sb (0.0000, 0.5000, 0.0000)  2 Rb 3.59
Sb (0.5000, 0.0000, 0.0000)  2 Rb 3.59
Te (0.0000, 0.0000, 0.5000)  2 Rb 3.33
Cl (0.5000, 0.5000, 0.5000)  8 Sb 4.89, 4 Te 5.07

VASP energy of number 2 (NdDy2HoTh)? -0.179 Ha/atom